Record 1
ZnNi2Au | meta-GGA SCAN | PBEsol geometry

abc: 4.3051 4.3051 2.8035
angles: 90.00 90.00 102.35
Element x y z (fractional)
Zn (0.0000, 0.0000, 0.0000)
Ni (0.0000, 0.5000, 0.5000)
Ni (0.5000, 0.0000, 0.5000)
Au (0.5000, 0.5000, 0.0000)

Summary:
ΔH_f (0 K)	-61	meV per atom



Record 2
Zn2NiAu | meta-GGA SCAN | PBEsol geometry

abc: 2.8161 3.2734 5.8234
angles: 90.00 90.00 90.00
Element x y z (fractional)
Zn (0.0000, 0.0000, 0.2198)
Zn (0.0000, 0.0000, 0.7802)
Ni (0.5000, 0.5000, 0.0000)
Au (0.5000, 0.5000, 0.5000)

Summary:
ΔH_f (0 K)	-218	meV per atom



Record 3
ZnNi2Au | meta-GGA SCAN | PBEsol geometry

abc: 4.5017 4.5017 4.4309
angles: 102.11 102.11 35.42
Element x y z (fractional)
Zn (0.0000, 0.0000, 0.0000)
Ni (0.2553, 0.2553, 0.7688)
Ni (0.5145, 0.5145, 0.5373)
Au (0.7588, 0.7588, 0.2768)

Summary:
ΔH_f (0 K)	-42	meV per atom



Record 4
ZnNi2Au | meta-GGA SCAN | PBEsol geometry

abc: 4.3691 2.7447 4.4299
angles: 90.00 106.47 90.00
Element x y z (fractional)
Zn (0.0000, 0.0000, 0.0000)
Ni (0.5000, 0.0000, 0.5000)
Ni (0.5000, 0.5000, 0.0000)
Au (0.0000, 0.5000, 0.5000)

Summary:
ΔH_f (0 K)	-28	meV per atom



Record 5
ZnNi2Au | meta-GGA SCAN | PBEsol geometry

abc: 2.6845 3.4758 5.4278
angles: 90.00 90.00 90.00
Element x y z (fractional)
Zn (0.0000, 0.0000, 0.0000)
Ni (0.0000, 0.0000, 0.5545)
Ni (0.5000, 0.5000, 0.7735)
Au (0.5000, 0.5000, 0.2856)

Summary:
ΔH_f (0 K)	-66	meV per atom



Record 6
ZnNi2Au | meta-GGA SCAN | PBEsol geometry

abc: 4.1554 4.1554 4.1554
angles: 60.00 60.00 60.00
Element x y z (fractional)
Zn (0.0000, 0.0000, 0.0000)
Ni (0.2500, 0.2500, 0.2500)
Ni (0.5000, 0.5000, 0.5000)
Au (0.7500, 0.7500, 0.7500)

Summary:
ΔH_f (0 K)	-24	meV per atom



Record 7
Zr2NiAu | meta-GGA SCAN | PBEsol geometry

abc: 5.2177 5.2177 5.2177
angles: 135.23 135.23 65.18
Element x y z (fractional)
Zr (0.0000, 0.0000, 0.0000)
Zr (0.7500, 0.2500, 0.5000)
Ni (0.2500, 0.7500, 0.5000)
Au (0.5000, 0.5000, 0.0000)

Summary:
ΔH_f (0 K)	-401	meV per atom



Record 8
Zr2NiAu | meta-GGA SCAN | PBEsol geometry

abc: 3.3809 4.1897 5.3521
angles: 90.00 107.16 90.00
Element x y z (fractional)
Zr (0.0000, 0.0000, 0.0000)
Zr (0.2831, 0.5000, 0.5842)
Ni (0.7324, 0.0000, 0.4747)
Au (0.5703, 0.5000, 0.1434)

Summary:
ΔH_f (0 K)	-622	meV per atom



What is the formula in the fourth record?
ZnNi2Au



Which value of ΔH_f (0 K) does entry 6 give?
-24 meV per atom